# ScTiBe, optimized geometry, DFT PBE
data_ScTiBe
_symmetry_space_group_name_H-M 'I 4/m m m'
_symmetry_Int_Tables_number 139
_symmetry_space_group_name_Hall '-I 4 2'
_cell_length_a 3.0123
_cell_length_b 3.0123
_cell_length_c 22.6393
_cell_angle_alpha 90.00
_cell_angle_beta 90.00
_cell_angle_gamma 90.00
loop_
_atom_site_label
_atom_site_fract_x
_atom_site_fract_y
_atom_site_fract_z
_atom_site_occupancy
Sc1 0.0000 0.0000 0.0723 1
Ti1 0.0000 0.0000 0.2101 1
Be1 0.0000 0.0000 0.3539 1
# * VASP energy: -70.864 eV for the cell shown
# * crystal system: tetragonal
# * E_form: 0.237 eV/f.u.